Compound: BaB2O4
Source: Alexandria via LeMat-Bulk
Functional: GGA-PBE
Structure: relaxed

a b c (Å): 14.082 14.082 14.082
angles (deg): 30.13 30.13 30.13
Positions (direct):
Ba: 0.151 0.151 0.151
Ba: 0.250 0.250 0.250
Ba: 0.349 0.349 0.349
Ba: 0.651 0.651 0.651
Ba: 0.750 0.750 0.750
Ba: 0.849 0.849 0.849
B: 0.004 0.249 0.862
B: 0.138 0.996 0.751
B: 0.249 0.862 0.004
B: 0.251 0.496 0.638
B: 0.362 0.749 0.504
B: 0.496 0.638 0.251
B: 0.504 0.362 0.749
B: 0.638 0.251 0.496
B: 0.749 0.504 0.362
B: 0.751 0.138 0.996
B: 0.862 0.004 0.249
B: 0.996 0.751 0.138
O: 0.027 0.559 0.306
O: 0.059 0.527 0.806
O: 0.073 0.835 0.211
O: 0.165 0.789 0.927
O: 0.194 0.941 0.473
O: 0.211 0.073 0.835
O: 0.289 0.665 0.427
O: 0.306 0.027 0.559
O: 0.335 0.573 0.711
O: 0.427 0.289 0.665
O: 0.441 0.694 0.973
O: 0.473 0.194 0.941
O: 0.527 0.806 0.059
O: 0.559 0.306 0.027
O: 0.573 0.711 0.335
O: 0.665 0.427 0.289
O: 0.694 0.973 0.441
O: 0.711 0.335 0.573
O: 0.789 0.927 0.165
O: 0.806 0.059 0.527
O: 0.835 0.211 0.073
O: 0.927 0.165 0.789
O: 0.941 0.473 0.194
O: 0.973 0.441 0.694

Values from the calculation:
The energy relative to the lowest polymorph listed for this composition comes out at 0.000 eV/atom. Its total energy is -7.7121 eV per atom. As for the space group: R-3c. As for the uncorrected formation energy: -2.70 eV per atom.